Entry 1:
# PBE DyLuIrRu, relaxed
# Formation energy from the elements: -2.73 eV per formula unit
# Crystal system: cubic
# Density of states at the Fermi level: 0.466 states/eV per atom
data_DyLuIrRu
_chemical_formula_sum 'Dy4 Lu4 Ir4 Ru4'
_space_group_name_H-M_alt 'F -4 3 m'
_space_group_IT_number 216
_space_group_name_Hall 'F -4 2 3'
_cell_length_a 6.750
_cell_length_b 6.750
_cell_length_c 6.750
_cell_angle_alpha 90.00
_cell_angle_beta 90.00
_cell_angle_gamma 90.00
loop_
_atom_site_label
_atom_site_fract_x
_atom_site_fract_y
_atom_site_fract_z
_atom_site_occupancy
Dy1 0.000 0.000 0.000 1
Lu1 0.000 0.000 0.500 1
Ir1 0.250 0.250 0.750 1
Ru1 0.250 0.250 0.250 1


Entry 2:
# PBE BaPt2Pb, relaxed
# Formation energy from the elements: -1.22 eV per formula unit
# Crystal system: monoclinic
# Density of states at the Fermi level: 0.578 states/eV per atom
data_BaPt2Pb
_chemical_formula_sum 'Ba1 Pt2 Pb1'
_space_group_name_H-M_alt 'P 1 2/m 1'
_space_group_IT_number 10
_cell_length_a 3.732
_cell_length_b 3.739
_cell_length_c 7.203
_cell_angle_alpha 90.00
_cell_angle_beta 90.07
_cell_angle_gamma 90.00
loop_
_space_group_symop_operation_xyz
'x,y,z'
'-x,-y,-z'
'-x,y,-z'
'x,-y,z'
loop_
_atom_site_label
_atom_site_fract_x
_atom_site_fract_y
_atom_site_fract_z
_atom_site_occupancy
Ba1 0.000 0.000 0.000 1
Pt1 0.499 0.500 0.300 1
Pb1 0.000 0.000 0.500 1


Entry 3:
# PBE La2PuPdS5, relaxed
# Crystal system: orthorhombic
# Density of states at the Fermi level: 1.137 states/eV per atom
# ΔE_f (raw): -1.68 eV/atom
data_La2PuPdS5
_chemical_formula_sum 'La8 Pu4 Pd4 S20'
_space_group_name_H-M_alt 'C m c 21'
_space_group_IT_number 36
_cell_length_a 3.963
_cell_length_b 16.617
_cell_length_c 12.230
_cell_angle_alpha 90.00
_cell_angle_beta 90.00
_cell_angle_gamma 90.00
loop_
_space_group_symop_operation_xyz
'x,y,z'
'-x,-y,z+1/2'
'-x,y,z'
'x,-y,z+1/2'
'x+1/2,y+1/2,z'
'-x+1/2,-y+1/2,z+1/2'
'-x+1/2,y+1/2,z'
'x+1/2,-y+1/2,z+1/2'
loop_
_atom_site_label
_atom_site_fract_x
_atom_site_fract_y
_atom_site_fract_z
_atom_site_occupancy
La1 0.000 0.113 0.000 1
La2 0.000 0.121 0.350 1
Pu1 0.000 0.180 0.679 1
Pd1 0.000 0.449 0.075 1
S1 0.000 0.017 0.675 1
S2 0.000 0.305 0.336 1
S3 0.000 0.306 0.019 1
S4 0.000 0.344 0.673 1
S5 0.000 0.496 0.395 1


Entry 4:
# PBE CoOsSe2, relaxed
# Crystal system: trigonal
# Density of states at the Fermi level: 1.487 states/eV per atom
# Relative energy among the computed polymorphs: 0.552 eV/atom
# ΔE_f (raw): 0.50 eV/atom
data_CoOsSe2
_chemical_formula_sum 'Co3 Os3 Se6'
_space_group_name_H-M_alt 'R -3 m'
_space_group_IT_number 166
_space_group_name_Hall '-R 3 2"'
_cell_length_a 3.5396
_cell_length_b 3.5396
_cell_length_c 22.4437
_cell_angle_alpha 90.00
_cell_angle_beta 90.00
_cell_angle_gamma 120.00
loop_
_atom_site_label
_atom_site_fract_x
_atom_site_fract_y
_atom_site_fract_z
_atom_site_occupancy
Co1 0.0000 0.0000 0.0000 1
Os1 0.0000 0.0000 0.5000 1
Se1 0.0000 0.0000 0.1017 1


Entry 5:
# PBE Na2PtO6, relaxed
# Crystal system: monoclinic
# Density of states at the Fermi level: 0.366 states/eV per atom
# Relative energy among the computed polymorphs: 0.000 eV/atom
# ΔE_f (raw): -0.63 eV/atom
data_Na2PtO6
_chemical_formula_sum 'Na4 Pt2 O12'
_space_group_name_H-M_alt 'C 1 2/m 1'
_space_group_IT_number 12
_cell_length_a 6.487
_cell_length_b 10.162
_cell_length_c 3.837
_cell_angle_alpha 90.00
_cell_angle_beta 107.92
_cell_angle_gamma 90.00
loop_
_space_group_symop_operation_xyz
'x,y,z'
'-x,-y,-z'
'-x,y,-z'
'x,-y,z'
'x+1/2,y+1/2,z'
'-x+1/2,-y+1/2,-z'
'-x+1/2,y+1/2,-z'
'x+1/2,-y+1/2,z'
loop_
_atom_site_label
_atom_site_fract_x
_atom_site_fract_y
_atom_site_fract_z
_atom_site_occupancy
Na1 0.000 0.151 0.000 1
Pt1 0.000 0.500 0.000 1
O1 0.065 0.348 0.684 1
O2 0.201 0.000 0.750 1


Entry 6:
# PBE V2BOs, relaxed
# Formation energy from the elements: -0.64 eV per formula unit
# Crystal system: monoclinic
# Density of states at the Fermi level: 1.110 states/eV per atom
data_V2BOs
_chemical_formula_sum 'V4 B2 Os2'
_space_group_name_H-M_alt 'C 1 m 1'
_space_group_IT_number 8
_cell_length_a 8.460
_cell_length_b 4.218
_cell_length_c 2.842
_cell_angle_alpha 90.00
_cell_angle_beta 103.23
_cell_angle_gamma 90.00
loop_
_space_group_symop_operation_xyz
'x,y,z'
'x,-y,z'
'x+1/2,y+1/2,z'
'x+1/2,-y+1/2,z'
loop_
_atom_site_label
_atom_site_fract_x
_atom_site_fract_y
_atom_site_fract_z
_atom_site_occupancy
V1 0.000 0.000 0.000 1
V2 0.185 0.500 0.628 1
B1 0.001 0.500 0.004 1
Os1 0.320 0.000 0.380 1


Entry 7:
# PBE Y2GaSn, relaxed
# Formation energy from the elements: -1.36 eV per formula unit
# Crystal system: tetragonal
# Density of states at the Fermi level: 0.638 states/eV per atom
data_Y2GaSn
_chemical_formula_sum 'Y8 Ga4 Sn4'
_space_group_name_H-M_alt 'I -4 2 d'
_space_group_IT_number 122
_space_group_name_Hall 'I -4 2bw'
_cell_length_a 8.057
_cell_length_b 8.057
_cell_length_c 6.748
_cell_angle_alpha 90.00
_cell_angle_beta 90.00
_cell_angle_gamma 90.00
loop_
_atom_site_label
_atom_site_fract_x
_atom_site_fract_y
_atom_site_fract_z
_atom_site_occupancy
Y1 0.234 0.250 0.125 1
Ga1 0.000 0.000 0.000 1
Sn1 0.000 0.000 0.500 1


Entry 8:
# PBE La3Tb3Pr2, relaxed
# Formation energy from the elements: 0.17 eV per formula unit
# Crystal system: orthorhombic
# Density of states at the Fermi level: 1.727 states/eV per atom
# Relative energy among the computed polymorphs: 0.009 eV/atom
data_La3Tb3Pr2
_chemical_formula_sum 'La6 Tb6 Pr4'
_space_group_name_H-M_alt 'I m m m'
_space_group_IT_number 71
_space_group_name_Hall '-I 2 2'
_cell_length_a 5.146
_cell_length_b 5.205
_cell_length_c 20.854
_cell_angle_alpha 90.00
_cell_angle_beta 90.00
_cell_angle_gamma 90.00
loop_
_atom_site_label
_atom_site_fract_x
_atom_site_fract_y
_atom_site_fract_z
_atom_site_occupancy
La1 0.000 0.000 0.000 1
La2 0.000 0.500 0.122 1
Tb1 0.000 0.000 0.500 1
Tb2 0.000 0.500 0.375 1
Pr1 0.000 0.000 0.249 1